{"formula": "CePrInRu", "functional": "PBE", "state": "optimized geometry", "cell": [[3.4238, 0.0000, 0.0000], [0.0000, 3.4238, 0.0000], [0.0000, 0.0000, 8.5800]], "species": ["In", "Pr", "Ce", "Ru"], "fractional_positions": [[0.0000, 0.0000, 0.0780], [0.5000, 0.5000, 0.7811], [0.5000, 0.5000, 0.3689], [0.0000, 0.0000, 0.5567]], "delta_e_f_ev_per_fu": -1.3}

=====

{"formula": "CePrIn2Se4", "functional": "PBE", "state": "optimized geometry", "cell": [[4.3221, 0.0000, 0.0000], [0.0000, 8.0929, -0.3757], [0.0000, 2.6288, 6.9995]], "species": ["Se", "Se", "Se", "Se", "In", "In", "Pr", "Ce"], "fractional_positions": [[0.0000, 0.2842, 0.2405], [0.0000, 0.7158, 0.7595], [0.5000, 0.7143, 0.2640], [0.5000, 0.2857, 0.7360], [0.5000, 0.0000, 0.5000], [0.0000, 0.0000, 0.0000], [0.5000, 0.5000, 0.0000], [0.0000, 0.5000, 0.5000]], "raw_formation_energy_ev_per_atom": -1.256}

=====

{"formula": "CePrSmIn", "functional": "PBE", "state": "optimized geometry", "cell": [[-1.0135, 3.3580, -4.2600], [-5.1183, 0.4307, -2.0168], [-2.8876, 4.6390, 0.7697]], "species": ["Sm", "Pr", "In", "Ce"], "fractional_positions": [[0.7500, 0.7500, 0.7500], [0.2500, 0.2500, 0.2500], [0.0000, 0.0000, 0.0000], [0.5000, 0.5000, 0.5000]], "delta_e_f_ev_per_fu": -0.4}

=====

Please write out number 1 again, unchanged.
{"formula": "CePrInRu", "functional": "PBE", "state": "optimized geometry", "cell": [[3.4238, 0.0000, 0.0000], [0.0000, 3.4238, 0.0000], [0.0000, 0.0000, 8.5800]], "species": ["In", "Pr", "Ce", "Ru"], "fractional_positions": [[0.0000, 0.0000, 0.0780], [0.5000, 0.5000, 0.7811], [0.5000, 0.5000, 0.3689], [0.0000, 0.0000, 0.5567]], "delta_e_f_ev_per_fu": -1.3}